# 1
Entry from Alexandria: a relaxed structure of Tb4PmCd5 (GGA-PBE). Values from VASP.

Structure (Quantum ESPRESSO input):
```
&SYSTEM
  ibrav = 0, nat = 10, ntyp = 3
/
ATOMIC_SPECIES
Tb 158.93 Tb.upf
Pm 145.00 Pm.upf
Cd 112.41 Cd.upf
CELL_PARAMETERS angstrom
3.771 0.000 0.000
0.000 3.771 0.000
0.000 0.000 18.893
ATOMIC_POSITIONS crystal
Tb 0.000 0.000 0.099
Tb 0.000 0.000 0.297
Tb 0.000 0.000 0.703
Tb 0.000 0.000 0.901
Pm 0.000 0.000 0.500
Cd 0.500 0.500 0.000
Cd 0.500 0.500 0.198
Cd 0.500 0.500 0.395
Cd 0.500 0.500 0.605
Cd 0.500 0.500 0.802
```

M_tot (μB/atom): 0.1260
Calculated formation energy (eV/atom): -0.318
E (eV/atom): -3.103
Space-group type: P4/mmm, No. 123

---

# 2
Entry from Alexandria: a relaxed structure of AgHgPtPb (GGA-PBE). Values from VASP.

Structure (Quantum ESPRESSO input):
```
&SYSTEM
  ibrav = 0, nat = 4, ntyp = 4
/
ATOMIC_SPECIES
Ag 107.87 Ag.upf
Hg 200.59 Hg.upf
Pt 195.08 Pt.upf
Pb 207.20 Pb.upf
CELL_PARAMETERS angstrom
0.000 3.465 3.465
3.465 0.000 3.465
3.465 3.465 0.000
ATOMIC_POSITIONS crystal
Ag 0.000 0.000 0.000
Hg 0.250 0.250 0.250
Pt 0.500 0.500 0.500
Pb 0.750 0.750 0.750
```

M_tot (μB/atom): 0.0000
Calculated formation energy (eV/atom): 0.060
E (eV/atom): -3.166
Space-group type: F-43m, No. 216

---

# 3
Entry from Alexandria: a relaxed structure of TbTaTi (GGA-PBE). Values from VASP.

Structure (Quantum ESPRESSO input):
```
&SYSTEM
  ibrav = 0, nat = 6, ntyp = 3
/
ATOMIC_SPECIES
Tb 158.93 Tb.upf
Ta 180.95 Ta.upf
Ti 47.87 Ti.upf
CELL_PARAMETERS angstrom
3.524 0.000 0.000
0.000 3.524 0.000
0.000 0.000 10.826
ATOMIC_POSITIONS crystal
Tb 0.250 0.250 0.134
Tb 0.750 0.750 0.866
Ta 0.250 0.250 0.688
Ta 0.750 0.750 0.312
Ti 0.250 0.250 0.432
Ti 0.750 0.750 0.568
```

M_tot (μB/atom): 0.0000
Calculated formation energy (eV/atom): 0.189
E (eV/atom): -7.937
Space-group type: P4/nmm, No. 129

---

# 4
Entry from Alexandria: a relaxed structure of AuSe2NCl (GGA-PBE). Values from VASP.

Structure (Quantum ESPRESSO input):
```
&SYSTEM
  ibrav = 0, nat = 5, ntyp = 4
/
ATOMIC_SPECIES
Au 196.97 Au.upf
Se 78.96 Se.upf
N 14.01 N.upf
Cl 35.45 Cl.upf
CELL_PARAMETERS angstrom
5.423 0.000 0.000
0.000 5.423 0.000
0.000 0.000 3.311
ATOMIC_POSITIONS crystal
Au 0.000 0.000 0.000
Se 0.000 0.500 0.500
Se 0.500 0.000 0.500
N 0.500 0.500 0.000
Cl 0.500 0.500 0.500
```

M_tot (μB/atom): 0.0000
Energy above the most stable polymorph in this dataset (eV/atom): 0.3266
Formation energy from raw total energies (eV/atom): 1.555
E (eV/atom): -2.529
Space-group type: P4/mmm, No. 123

---

# 5
Entry from Alexandria: a relaxed structure of TbEr3Mg2 (GGA-PBE). Values from VASP.

Structure (Quantum ESPRESSO input):
```
&SYSTEM
  ibrav = 0, nat = 6, ntyp = 3
/
ATOMIC_SPECIES
Tb 158.93 Tb.upf
Er 167.26 Er.upf
Mg 24.30 Mg.upf
CELL_PARAMETERS angstrom
3.599 0.000 0.000
0.000 3.599 0.000
0.000 0.000 13.144
ATOMIC_POSITIONS crystal
Tb 0.000 0.000 0.000
Er 0.500 0.500 0.186
Er 0.500 0.500 0.500
Er 0.500 0.500 0.814
Mg 0.000 0.000 0.346
Mg 0.000 0.000 0.654
```

M_tot (μB/atom): 0.0001
Calculated formation energy (eV/atom): -0.035
E (eV/atom): -3.620
Space-group type: P4/mmm, No. 123

---

# 6
Entry from Alexandria: a relaxed structure of HfHOsRh2 (GGA-PBE). Values from VASP.

Structure (Quantum ESPRESSO input):
```
&SYSTEM
  ibrav = 0, nat = 5, ntyp = 4
/
ATOMIC_SPECIES
Hf 178.49 Hf.upf
H 1.01 H.upf
Os 190.23 Os.upf
Rh 102.91 Rh.upf
CELL_PARAMETERS angstrom
3.985 0.000 0.000
0.000 3.985 0.000
0.000 0.000 4.023
ATOMIC_POSITIONS crystal
Hf 0.000 0.000 0.000
H 0.500 0.500 0.500
Os 0.500 0.500 0.000
Rh 0.000 0.500 0.500
Rh 0.500 0.000 0.500
```

M_tot (μB/atom): 0.0000
Energy above the most stable polymorph in this dataset (eV/atom): 0.0000
E (eV/atom): -8.296
Space-group type: P4/mmm, No. 123

---

Question: Which formula does entry 5 have?
Answer: TbEr3Mg2